Record 1
The following is a GGA-PBE calculation of a relaxed structure of TaSbCl2, from Alexandria via LeMat-Bulk.

Results
**Energy above the most stable polymorph in this dataset**: 93 meV/atom
**E_form (uncorrected)**: -196 kJ/mol of formula units

a = 5.6188 Å, b = 12.9734 Å, c = 3.1457 Å
α = 90.00°, β = 90.00°, γ = 90.00°
Closest atoms and distances in Å follow each position.
Space group Cmmm (No. 65)
Asymmetric unit:
Ta (0.0000, 0.0000, 0.0000)  4 Cl 2.48
Sb (0.0000, 0.5000, 0.0000)  2 Ta 2.81, 2 Sb 3.15
Cl (0.0000, 0.1475, 0.5000)  2 Ta 2.48

Record 2
The following is a GGA-PBE calculation of a relaxed structure of Ca3MgCu2, from Alexandria via LeMat-Bulk.

Results
**Energy above the most stable polymorph in this dataset**: 0 meV/atom
**Energy relative to the elements**: -0.09 eV per atom

a = 17.2022 Å, b = 4.0867 Å, c = 11.1797 Å
α = 90.00°, β = 120.70°, γ = 90.00°
Closest atoms and distances in Å follow each position.
Space group C2/m (No. 12)
Asymmetric unit:
Ca (0.0828, 0.0000, 0.4045)  3 Cu 2.95-3.01
Ca (0.0979, 0.0000, 0.9795)  3 Cu 2.94-3.03
Ca (0.1507, 0.5000, 0.7339)  4 Cu 2.98-3.09
Mg (0.1867, 0.5000, 0.2669)  4 Cu 2.76-2.94
Cu (0.2311, 0.5000, 0.5436)  2 Cu 2.49, 3 Mg 2.76-2.78
Cu (0.2378, 0.5000, 0.0533)  2 Cu 2.51

Volume (Å³/cell)
229.3, 675.8